# AlGa2CuHg | the Alexandria database | GGA-PBE | optimized geometry
# * E: -2.681 eV per atom
data_AlGa2CuHg
_cell_length_a 4.737
_cell_length_b 4.737
_cell_length_c 4.728
_cell_angle_alpha 90.00
_cell_angle_beta 90.00
_cell_angle_gamma 90.00
_symmetry_space_group_name_H-M 'P 1'
_symmetry_Int_Tables_number 1
_symmetry_space_group_name_Hall 'P 1'
loop_
_atom_site_label
_atom_site_fract_x
_atom_site_fract_y
_atom_site_fract_z
Al1 0.000 0.000 0.000
Ga1 0.000 0.500 0.500
Ga2 0.500 0.000 0.500
Cu1 0.000 0.000 0.500
Hg1 0.500 0.500 0.000

# LaPm4Nd2Sm | the Alexandria database | GGA-PBE | optimized geometry
# * E: -4.757 eV per atom
data_LaPm4Nd2Sm
_cell_length_a 6.341
_cell_length_b 3.678
_cell_length_c 12.197
_cell_angle_alpha 90.00
_cell_angle_beta 100.34
_cell_angle_gamma 90.00
_symmetry_space_group_name_H-M 'P 1'
_symmetry_Int_Tables_number 1
_symmetry_space_group_name_Hall 'P 1'
loop_
_atom_site_label
_atom_site_fract_x
_atom_site_fract_y
_atom_site_fract_z
La1 0.000 0.000 0.000
Pm1 0.250 0.500 0.251
Pm2 0.251 0.000 0.750
Pm3 0.749 0.000 0.250
Pm4 0.750 0.500 0.749
Nd1 0.000 0.500 0.500
Nd2 0.500 0.000 0.500
Sm1 0.500 0.500 0.000